No. 1
Below is a relaxed CsKCuF6 crystal, with properties calculated at the PBE-GGA level.

* formation energy without anion corrections: -17.6 eV/f.u.
* space group: C2 (5)

Cell lengths 6.2448, 6.2448, 5.6967 Å; angles 90.08, 89.92, 59.71 degrees
Last column: nearest neighbours and their distance in Å.
Sites, in units of the cell vectors:
1 F 0.3322 0.0904 0.6889  1 Cu 1.86
2 F 0.5809 0.0867 0.3143  1 Cu 1.86
3 F 0.0907 0.3318 0.3112  1 Cu 1.86
4 F 0.5762 0.3349 0.6894  1 Cu 1.87
5 F 0.0865 0.5807 0.6858  1 Cu 1.86
6 F 0.3344 0.5764 0.3107  1 Cu 1.86
7 Cs 0.9997 0.9997 0.9998  6 F 2.98-2.99
8 K 0.6658 0.6658 0.4997  6 F 2.63-2.64
9 Cu 0.3335 0.3335 0.5001  6 F 1.86-1.87


No. 2
Below is a relaxed Tm2Zn3Ga2 crystal, with properties calculated at the PBE-GGA level.

* ΔH_f (0 K): -27.6 kJ/mol of atoms
* relative energy among the computed polymorphs: 159 meV/atom
* space group: Cmmm (65)

Cell lengths 3.3535, 4.1423, 10.1575 Å; angles 101.77, 90.00, 90.00 degrees
Last column: nearest neighbours and their distance in Å.
Sites, in units of the cell vectors:
1 Tm 0.0000 0.8472 0.6944  6 Ga 2.92-3.15, 5 Zn 3.04-3.18
2 Tm 0.0000 0.1528 0.3056  6 Ga 2.92-3.15, 5 Zn 3.04-3.18
3 Zn 0.5000 0.4340 0.8681  1 Zn 2.62, 1 Ga 2.93
4 Zn 0.0000 0.0000 0.0000  8 Zn 2.97, 2 Tm 3.04
5 Zn 0.5000 0.5660 0.1319  1 Zn 2.62, 1 Ga 2.93
6 Ga 0.5000 0.7131 0.4262  2 Ga 2.54
7 Ga 0.5000 0.2869 0.5738  2 Ga 2.54


No. 3
Below is a relaxed ZrCuRe2 crystal, with properties calculated at the PBE-GGA level.

* ΔH_f (0 K): 7.9 kJ/mol of atoms
* relative energy among the computed polymorphs: 62 meV/atom
* space group: I-4m2 (119)

Cell lengths 4.6188, 4.6188, 4.2622 Å; angles 62.52, 62.52, 54.98 degrees
Last column: nearest neighbours and their distance in Å.
Sites, in units of the cell vectors:
1 Re 0.2500 0.2500 0.2501  4 Re 2.76, 4 Zr 2.76, 4 Cu 3.01
2 Re 0.0000 0.0000 0.0000  4 Re 2.76, 4 Cu 2.76, 4 Zr 3.01
3 Zr 0.5000 0.5000 0.5000  8 Re 2.76-3.01, 4 Cu 2.76
4 Cu 0.7501 0.7501 0.7499  8 Re 2.76-3.01, 4 Zr 2.76


| no. | spin magnetization (μB/f.u.) |
| --- | --- |
| 1 | 1.00 |
| 2 | 0.00 |
| 3 | 0.00 |